# 1
An optimized crystal structure of MnCoOs2. Source: Alexandria, functional PBE.

Computed properties:
The value obtained for the density of states at the Fermi level is 1.244 states/eV/atom. The total energy is -9.56 eV/atom. Its relative energy among the computed polymorphs is 60 meV/atom.

Lattice parameters (Å, degrees): 4.491 4.491 2.648 90.00 90.00 108.14
Positions (direct):
Mn: 0.000 0.000 0.000
Co: 0.500 0.500 0.000
Os: 0.000 0.500 0.500
Os: 0.500 0.000 0.500

# 2
An optimized crystal structure of HoCd2Au. Source: Alexandria, functional PBE.

Computed properties:
The value obtained for the density of states at the Fermi level is 0.513 states/eV/atom. The total energy is -2.30 eV/atom.

Lattice parameters (Å, degrees): 10.962 10.962 10.962 16.88 16.88 16.88
Positions (direct):
Ho: 0.000 0.000 0.000
Cd: 0.096 0.096 0.096
Cd: 0.904 0.904 0.904
Au: 0.500 0.500 0.500

What did we get for spin magnetization? Answer: 0.16, 0.00 μB per atom, in the order shown.